Computed, not measured: a relaxed LiVP4H12O18 crystal at the PBE+U level of DFT.

a = 7.452 Å, b = 7.452 Å, c = 14.007 Å
α = 94.41°, β = 94.41°, γ = 109.70°
Fractional coordinates of all 72 atoms:
Li  0.542  0.458  0.750
Li  0.458  0.542  0.250
V  0.151  0.849  0.750
V  0.849  0.151  0.250
P  0.827  0.979  0.599
P  0.979  0.827  0.099
P  0.715  0.800  0.922
P  0.800  0.715  0.422
P  0.200  0.285  0.578
P  0.285  0.200  0.078
P  0.021  0.173  0.901
P  0.173  0.021  0.401
H  0.022  0.469  0.762
H  0.469  0.022  0.262
H  0.885  0.505  0.678
H  0.505  0.885  0.178
H  0.401  0.878  0.614
H  0.878  0.401  0.114
H  0.697  0.453  0.569
H  0.453  0.697  0.069
H  0.733  0.336  0.875
H  0.333  0.760  0.908
H  0.336  0.733  0.375
H  0.760  0.333  0.408
H  0.240  0.667  0.592
H  0.664  0.267  0.625
H  0.667  0.240  0.092
H  0.267  0.664  0.125
H  0.547  0.303  0.931
H  0.303  0.547  0.431
H  0.122  0.599  0.886
H  0.599  0.122  0.386
H  0.495  0.115  0.822
H  0.115  0.495  0.322
H  0.531  0.978  0.738
H  0.978  0.531  0.238
O  0.937  0.881  0.657
O  0.881  0.937  0.157
O  0.712  0.709  0.824
O  0.709  0.712  0.324
O  0.857  0.737  0.996
O  0.737  0.857  0.496
O  0.021  0.559  0.714
O  0.559  0.021  0.214
O  0.977  0.338  0.861
O  0.530  0.767  0.966
O  0.338  0.977  0.361
O  0.767  0.530  0.466
O  0.681  0.405  0.634
O  0.969  0.178  0.570
O  0.405  0.681  0.134
O  0.178  0.969  0.070
O  0.267  0.803  0.622
O  0.803  0.267  0.122
O  0.197  0.733  0.878
O  0.733  0.197  0.378
O  0.822  0.031  0.930
O  0.595  0.319  0.866
O  0.031  0.822  0.430
O  0.319  0.595  0.366
O  0.233  0.470  0.534
O  0.662  0.023  0.639
O  0.470  0.233  0.034
O  0.023  0.662  0.139
O  0.441  0.979  0.786
O  0.979  0.441  0.286
O  0.263  0.143  0.504
O  0.143  0.263  0.004
O  0.291  0.288  0.676
O  0.288  0.291  0.176
O  0.119  0.063  0.843
O  0.063  0.119  0.343

Mass density, g cm⁻³: 2.2
Calculated total energy, eV/f.u.: -217.89